Here is a relaxed MgFeO3 crystal from Alexandria via LeMat-Bulk. Energies are from PBE+U.

a b c (Å): 5.0081 5.0081 13.7737
angles (deg): 90.00 90.00 120.00
Space group R-3 (No. 148, hexagonal axes)
Unique sites:
Mg (0.0000, 0.0000, 0.1403)
Fe (0.0000, 0.0000, 0.3409)
O (0.0186, 0.6410, 0.9220)

VASP energy: -6.0229 eV per atom
M_tot: 2.01 μB/f.u.
crystal system: trigonal